! Sr2BF | the Alexandria database | PBE-GGA | relaxed; values from VASP
&SYSTEM
  ibrav = 0, nat = 8, ntyp = 3
/
ATOMIC_SPECIES
F 19.00 F.upf
B 10.81 B.upf
Sr 87.62 Sr.upf
ATOMIC_POSITIONS crystal
F 0.000 0.000 0.000
F 0.750 0.250 0.500
B 0.250 0.750 0.500
B 0.500 0.500 0.000
Sr 0.375 0.347 0.750
Sr 0.653 0.125 0.250
Sr 0.097 0.625 0.250
Sr 0.875 0.903 0.750
CELL_PARAMETERS angstrom
6.851 0.000 0.000
0.000 6.851 0.000
3.426 3.426 4.322
! uncorrected formation energy: -0.865 eV per atom
! space-group type: I-42d

---

! SrBF5 | the Alexandria database | PBE-GGA | relaxed; values from VASP
&SYSTEM
  ibrav = 0, nat = 14, ntyp = 3
/
ATOMIC_SPECIES
F 19.00 F.upf
Sr 87.62 Sr.upf
B 10.81 B.upf
ATOMIC_POSITIONS crystal
F 0.676 0.640 0.828
F 0.640 0.676 0.328
F 0.718 0.283 0.882
F 0.717 0.282 0.618
F 0.283 0.718 0.382
F 0.282 0.717 0.118
F 0.324 0.360 0.172
F 0.360 0.324 0.672
F 0.083 0.917 0.750
F 0.917 0.083 0.250
Sr 0.000 0.000 0.500
Sr 0.000 0.000 0.000
B 0.383 0.617 0.250
B 0.617 0.383 0.750
CELL_PARAMETERS angstrom
5.542 0.630 -1.973
-1.047 5.478 -1.973
-0.309 -0.420 8.773
! uncorrected formation energy: -3.332 eV per atom
! space-group type: C2/c

---

! SrBF | the Alexandria database | PBE-GGA | relaxed; values from VASP
&SYSTEM
  ibrav = 0, nat = 6, ntyp = 3
/
ATOMIC_SPECIES
F 19.00 F.upf
Sr 87.62 Sr.upf
B 10.81 B.upf
ATOMIC_POSITIONS crystal
F 0.157 0.755 0.899
F 0.843 0.245 0.101
Sr 0.133 0.903 0.234
Sr 0.867 0.097 0.766
B 0.733 0.479 0.502
B 0.267 0.521 0.498
CELL_PARAMETERS angstrom
3.280 -0.006 0.200
-1.621 3.873 -0.099
0.406 -1.239 7.768
! uncorrected formation energy: -1.835 eV per atom
! space-group type: P-1

---

! SrB2F | the Alexandria database | PBE-GGA | relaxed; values from VASP
&SYSTEM
  ibrav = 0, nat = 4, ntyp = 3
/
ATOMIC_SPECIES
B 10.81 B.upf
F 19.00 F.upf
Sr 87.62 Sr.upf
ATOMIC_POSITIONS crystal
B 0.750 0.750 0.750
B 0.250 0.250 0.250
F 0.000 0.000 0.000
Sr 0.500 0.500 0.500
CELL_PARAMETERS angstrom
-1.260 -3.245 2.911
-0.122 0.868 4.452
-3.988 0.300 2.145
! uncorrected formation energy: 1.073 eV per atom
! space-group type: Fm-3m

---

! SrBF | the Alexandria database | PBE-GGA | relaxed; values from VASP
&SYSTEM
  ibrav = 0, nat = 12, ntyp = 3
/
ATOMIC_SPECIES
B 10.81 B.upf
F 19.00 F.upf
Sr 87.62 Sr.upf
ATOMIC_POSITIONS crystal
B 0.249 0.500 0.506
B 0.751 0.500 0.494
B 0.751 0.000 0.994
B 0.249 0.000 0.006
F 0.251 0.500 0.263
F 0.749 0.000 0.237
F 0.251 0.000 0.763
F 0.749 0.500 0.737
Sr 0.255 0.000 0.360
Sr 0.745 0.000 0.640
Sr 0.255 0.500 0.860
Sr 0.745 0.500 0.140
CELL_PARAMETERS angstrom
-1.238 -3.072 0.324
3.853 -1.453 0.952
-2.407 2.590 13.692
! uncorrected formation energy: -1.867 eV per atom
! space-group type: C2/m

---

! SrBF | the Alexandria database | PBE-GGA | relaxed; values from VASP
&SYSTEM
  ibrav = 0, nat = 12, ntyp = 3
/
ATOMIC_SPECIES
Sr 87.62 Sr.upf
B 10.81 B.upf
F 19.00 F.upf
ATOMIC_POSITIONS crystal
Sr 0.000 0.636 0.750
Sr 0.500 0.136 0.750
Sr 0.000 0.364 0.250
Sr 0.500 0.864 0.250
B 0.000 0.005 0.250
B 0.500 0.505 0.250
B 0.500 0.495 0.750
B 0.000 0.995 0.750
F 0.500 0.698 0.250
F 0.000 0.198 0.250
F 0.500 0.302 0.750
F 0.000 0.802 0.750
CELL_PARAMETERS angstrom
3.676 0.000 0.000
0.000 15.556 0.000
0.000 0.000 3.233
! uncorrected formation energy: -1.854 eV per atom
! space-group type: Cmcm

---

| no. | ρ (g/cm³) | total DFT energy (no corrections) (eV/atom) |
| --- | --- | --- |
| 1 | 3.357 | -3.843 |
| 2 | 2.436 | -5.863 |
| 3 | 3.967 | -5.245 |
| 4 | 3.223 | -3.154 |
| 5 | 3.922 | -5.277 |
| 6 | 4.219 | -5.264 |